This record from the Alexandria database describes a crystal of NaGa2P2O9 relaxed with PBEsol. The functional is SCAN.

Output
Crystal system   monoclinic
Energy relative to the elements, uncorrected   -213.64 kJ per mole of atoms
ρ   3.525 g/cm3

The structure in CIF format:
```
data_NaGa2P2O9
_cell_length_a 9.023
_cell_length_b 9.117
_cell_length_c 9.833
_cell_angle_alpha 90.00
_cell_angle_beta 120.91
_cell_angle_gamma 90.00
_symmetry_space_group_name_H-M 'P 1 21/c 1'
_symmetry_Int_Tables_number 14
_symmetry_space_group_name_Hall '-P 2ybc'
loop_
_atom_site_label
_atom_site_type_symbol
_atom_site_fract_x
_atom_site_fract_y
_atom_site_fract_z
Na1 Na 0.230 0.122 0.470
Ga1 Ga 0.163 0.721 0.424
Ga2 Ga 0.491 0.074 0.136
P1 P 0.160 0.050 0.757
P2 P 0.333 0.621 0.770
O1 O 0.043 0.166 0.638
O2 O 0.051 0.582 0.260
O3 O 0.177 0.678 0.613
O4 O 0.258 0.122 0.925
O5 O 0.274 0.620 0.894
O6 O 0.286 0.000 0.704
O7 O 0.384 0.037 0.258
O8 O 0.394 0.600 0.499
O9 O 0.492 0.722 0.827
```